1.
## RbHg3W (GGA-PBE)

Data for RbHg3W after structural relaxation.

Unit cell a=5.4765 b=5.4765 c=5.4765 alpha=90.00 beta=90.00 gamma=90.00
Sites, in units of the cell vectors:
Rb 0.0000 0.0000 0.0000
Hg 0.0000 0.5000 0.5000
Hg 0.5000 0.0000 0.5000
Hg 0.5000 0.5000 0.0000
W 0.5000 0.5000 0.5000

Calculated values
Space group = Pm-3m, No. 221
N(E_F) = 4.41 states/eV/cell
Relative energy among the computed polymorphs = 0 kJ/mol of formula units
Formation enthalpy at 0 K = 0.569 eV/atom

2.
## LaHoSe3 (GGA-PBE)

Data for LaHoSe3 after structural relaxation.

Unit cell a=7.7997 b=4.2114 c=16.1155 alpha=90.00 beta=90.00 gamma=90.00
Sites, in units of the cell vectors:
La 0.1398 0.2500 0.1998
La 0.3602 0.7500 0.6998
La 0.6398 0.2500 0.3002
La 0.8602 0.7500 0.8002
Ho 0.2280 0.7500 0.4569
Ho 0.2720 0.2500 0.9569
Ho 0.7280 0.7500 0.0431
Ho 0.7720 0.2500 0.5431
Se 0.0105 0.2500 0.3959
Se 0.1247 0.7500 0.0602
Se 0.1530 0.2500 0.7850
Se 0.3470 0.7500 0.2850
Se 0.3753 0.2500 0.5602
Se 0.4895 0.7500 0.8959
Se 0.5105 0.2500 0.1041
Se 0.6247 0.7500 0.4398
Se 0.6530 0.2500 0.7150
Se 0.8470 0.7500 0.2150
Se 0.8753 0.2500 0.9398
Se 0.9895 0.7500 0.6041

Calculated values
Formation energy from raw total energies = -1.961 eV/atom
Space group = Pnma, No. 62
Relative energy among the computed polymorphs = 0 kJ/mol of formula units

Copy entry 2 word for word.
## LaHoSe3 (GGA-PBE)

Data for LaHoSe3 after structural relaxation.

Unit cell a=7.7997 b=4.2114 c=16.1155 alpha=90.00 beta=90.00 gamma=90.00
Sites, in units of the cell vectors:
La 0.1398 0.2500 0.1998
La 0.3602 0.7500 0.6998
La 0.6398 0.2500 0.3002
La 0.8602 0.7500 0.8002
Ho 0.2280 0.7500 0.4569
Ho 0.2720 0.2500 0.9569
Ho 0.7280 0.7500 0.0431
Ho 0.7720 0.2500 0.5431
Se 0.0105 0.2500 0.3959
Se 0.1247 0.7500 0.0602
Se 0.1530 0.2500 0.7850
Se 0.3470 0.7500 0.2850
Se 0.3753 0.2500 0.5602
Se 0.4895 0.7500 0.8959
Se 0.5105 0.2500 0.1041
Se 0.6247 0.7500 0.4398
Se 0.6530 0.2500 0.7150
Se 0.8470 0.7500 0.2150
Se 0.8753 0.2500 0.9398
Se 0.9895 0.7500 0.6041

Calculated values
Formation energy from raw total energies = -1.961 eV/atom
Space group = Pnma, No. 62
Relative energy among the computed polymorphs = 0 kJ/mol of formula units